BaNd2MnS5 after structural relaxation. Source: Alexandria, functional PBE.

Geometry as POSCAR:
```
BaNd2MnS5
1.0
-7.6563 2.9669 -3.3505
-0.3495 -4.2937 -7.7518
1.2844 -3.5672 8.0171
S Mn Nd Ba
10 2 4 2
direct
0.4831 0.9831 0.1998 S
0.2168 0.7168 0.1998 S
0.5169 0.0169 0.8002 S
0.0169 0.2168 0.5000 S
0.7168 0.5169 0.5000 S
0.9831 0.7832 0.5000 S
0.2832 0.4831 0.5000 S
0.7832 0.2832 0.8002 S
0.5000 0.5000 0.0000 S
0.0000 0.0000 0.0000 S
0.7500 0.2500 0.5000 Mn
0.2500 0.7500 0.5000 Mn
0.3381 0.1619 0.5000 Nd
0.1619 0.6619 0.8238 Nd
0.8381 0.3381 0.1762 Nd
0.6619 0.8381 0.5000 Nd
0.2500 0.2500 0.0000 Ba
0.7500 0.7500 0.0000 Ba
```

Computed properties:
E_form (uncorrected) in eV per atom: -1.760
Total moment in μB/f.u.: 5.00

=====

Ba2NdMnS5 after structural relaxation. Source: Alexandria, functional PBE.

Geometry as POSCAR:
```
Ba2NdMnS5
1.0
4.2189 0.0000 0.0000
-2.1094 9.0854 0.0000
0.0000 0.0000 13.0518
Ba Nd Mn S
4 2 2 10
direct
0.8751 0.7501 0.8413 Ba
0.1229 0.2458 0.6938 Ba
0.1249 0.2499 0.3413 Ba
0.8771 0.7542 0.1938 Ba
0.8014 0.6028 0.5334 Nd
0.1986 0.3972 0.0334 Nd
0.5572 0.1144 0.9211 Mn
0.4428 0.8856 0.4211 Mn
0.3477 0.6954 0.0179 S
0.6825 0.3651 0.8799 S
0.4990 0.9979 0.7712 S
0.3036 0.6072 0.6754 S
0.9635 0.9270 0.4900 S
0.6523 0.3046 0.5179 S
0.3175 0.6349 0.3799 S
0.5010 0.0021 0.2712 S
0.6964 0.3928 0.1754 S
0.0365 0.0730 0.9900 S
```

Computed properties:
E_form (uncorrected) in eV per atom: -1.648
Total moment in μB/f.u.: 4.00
Fermi-level density of states in states/eV/atom: 0.365

=====

BaMnNi2 after structural relaxation. Source: Alexandria, functional PBE.

Geometry as POSCAR:
```
BaMnNi2
1.0
-4.3935 -0.6868 1.5737
-1.5089 -4.3669 0.9511
-0.7245 -1.3240 4.4691
Ba Mn Ni
1 1 2
direct
0.5000 0.5000 0.5000 Ba
0.7500 0.7500 0.7500 Mn
0.0000 0.0000 0.0000 Ni
0.2500 0.2500 0.2500 Ni
```

Computed properties:
ΔE_f in eV per atom: 0.775
Total moment in μB/f.u.: 3.92
Fermi-level density of states in states/eV/atom: 0.961

=====

BaMnNi2 after structural relaxation. Source: Alexandria, functional PBE.

Geometry as POSCAR:
```
BaMnNi2
1.0
-2.4877 -3.9008 -1.2747
-4.4357 0.4565 -1.7736
-0.8343 -0.9041 -4.6385
Ni Mn Ba
2 1 1
direct
0.2500 0.2500 0.2500 Ni
0.7500 0.7500 0.7500 Ni
0.0000 0.0000 0.0000 Mn
0.5000 0.5000 0.5000 Ba
```

Computed properties:
ΔE_f in eV per atom: 0.620
Total moment in μB/f.u.: 4.55
Fermi-level density of states in states/eV/atom: 0.626

=====

BaMnNi2 after structural relaxation. Source: Alexandria, functional PBE.

Geometry as POSCAR:
```
BaMnNi2
1.0
3.8246 0.0000 0.0000
0.0000 3.7331 0.2123
0.0000 1.4883 6.1138
Ba Mn Ni
1 1 2
direct
0.0000 0.4673 0.4519 Ba
0.5000 0.7294 0.9128 Mn
0.0000 0.2010 0.9603 Ni
0.5000 0.1022 0.1750 Ni
```

Computed properties:
ΔE_f in eV per atom: 0.309
Total moment in μB/f.u.: 4.80
Fermi-level density of states in states/eV/atom: 0.845

=====

BaMnNi2 after structural relaxation. Source: Alexandria, functional PBE.

Geometry as POSCAR:
```
BaMnNi2
1.0
5.6941 0.0150 0.0031
2.5312 5.1006 -0.0031
-3.4232 -3.6664 2.6949
Ba Mn Ni
1 1 2
direct
0.5058 0.5058 0.0000 Ba
0.2003 0.7003 0.5000 Mn
0.9960 0.9960 0.0000 Ni
0.7978 0.2978 0.5000 Ni
```

Computed properties:
ΔE_f in eV per atom: 0.556
Total moment in μB/f.u.: 4.90
Fermi-level density of states in states/eV/atom: 0.506

=====

> Which of these has the lowest total moment?

number 3

=====

> Among the records above, which one has the highest total moment?

BaNd2MnS5